The following is a DFT calculation (PBE) of TbPm3Er after structural relaxation.

As for the calculated formation energy: 52 kJ/mol of formula units. The value obtained for the energy above the most stable polymorph in this dataset is 0 meV/atom. As for the density of states at the Fermi level: 36.3 states/eV/cell. The value obtained for the spin magnetization is 0.000 μB/f.u.

abc: 12.436 5.817 9.767
angles: 90.00 109.64 90.00
Space group C2/m (No. 12)
Unique sites:
Tb  0.049  0.000  0.349
Pm  0.141  0.500  0.584
Pm  0.155  0.000  0.042
Pm  0.236  0.500  0.273
Er  0.049  0.500  0.868



The following is a DFT calculation (PBE) of TbPm6Er2 after structural relaxation.

As for the calculated formation energy: 74 kJ/mol of formula units. The value obtained for the energy above the most stable polymorph in this dataset is 68 meV/atom. As for the density of states at the Fermi level: 49.4 states/eV/cell. The value obtained for the spin magnetization is 0.000 μB/f.u.

abc: 16.377 11.772 6.218
angles: 90.00 96.03 90.00
Space group C2/c (No. 15)
Unique sites:
Tb  0.000  0.099  0.250
Pm  0.047  0.359  0.514
Pm  0.120  0.141  0.819
Pm  0.215  0.141  0.347
Er  0.166  0.401  0.085



The following is a DFT calculation (PBE) of Tb3Pm4Er4 after structural relaxation.

As for the calculated formation energy: 185 kJ/mol of formula units. The value obtained for the energy above the most stable polymorph in this dataset is 110 meV/atom. As for the density of states at the Fermi level: 29.4 states/eV/cell. The value obtained for the spin magnetization is 0.001 μB/f.u.

abc: 3.535 11.290 18.317
angles: 90.00 90.00 90.00
Space group Immm (No. 71)
Unique sites:
Tb  0.000  0.000  0.000
Tb  0.000  0.500  0.109
Pm  0.000  0.000  0.212
Pm  0.000  0.213  0.500
Er  0.000  0.250  0.328



The following is a DFT calculation (PBE) of TbPm7Er4 after structural relaxation.

As for the calculated formation energy: 252 kJ/mol of formula units. The value obtained for the energy above the most stable polymorph in this dataset is 215 meV/atom. As for the density of states at the Fermi level: 38.3 states/eV/cell. The value obtained for the spin magnetization is 0.213 μB/f.u.

abc: 16.088 5.965 9.384
angles: 90.00 116.57 90.00
Space group C2/m (No. 12)
Unique sites:
Tb  0.000  0.000  0.000
Pm  0.000  0.500  0.000
Pm  0.085  0.000  0.448
Pm  0.212  0.000  0.238
Pm  0.213  0.000  0.884
Er  0.071  0.500  0.699
Er  0.170  0.500  0.383



The following is a DFT calculation (PBE) of TbPm7Er3 after structural relaxation.

As for the calculated formation energy: 247 kJ/mol of formula units. The value obtained for the energy above the most stable polymorph in this dataset is 51 meV/atom. As for the density of states at the Fermi level: 30.3 states/eV/cell. The value obtained for the spin magnetization is 0.005 μB/f.u.

abc: 12.739 11.320 5.869
angles: 90.00 117.35 90.00
Space group C2/m (No. 12)
Unique sites:
Tb  0.000  0.000  0.000
Pm  0.000  0.000  0.500
Pm  0.193  0.291  0.193
Pm  0.209  0.500  0.707
Er  0.000  0.296  0.500
Er  0.000  0.500  0.000



The following is a DFT calculation (PBE) of Tb8Pm5Er after structural relaxation.

As for the calculated formation energy: 331 kJ/mol of formula units. As for the density of states at the Fermi level: 38.7 states/eV/cell. The value obtained for the spin magnetization is 0.000 μB/f.u.

abc: 9.641 9.641 10.119
angles: 90.00 90.00 90.00
Space group I-4 (No. 82)
Unique sites:
Tb  0.070  0.174  0.344
Tb  0.086  0.322  0.003
Pm  0.000  0.500  0.250
Pm  0.109  0.287  0.672
Er  0.000  0.000  0.000



The following is a DFT calculation (PBE) of Tb8PmEr5 after structural relaxation.

As for the calculated formation energy: 337 kJ/mol of formula units. As for the density of states at the Fermi level: 43.2 states/eV/cell. The value obtained for the spin magnetization is 0.000 μB/f.u.

abc: 9.478 9.478 10.203
angles: 90.00 90.00 90.00
Space group I-4 (No. 82)
Unique sites:
Tb  0.071  0.176  0.351
Tb  0.088  0.326  0.003
Pm  0.000  0.000  0.000
Er  0.000  0.500  0.250
Er  0.112  0.292  0.677



The following is a DFT calculation (PBE) of Tb4Pm5Er after structural relaxation.

As for the calculated formation energy: 35 kJ/mol of formula units. The value obtained for the energy above the most stable polymorph in this dataset is 0 meV/atom. As for the density of states at the Fermi level: 27.1 states/eV/cell. The value obtained for the spin magnetization is 0.000 μB/f.u.

abc: 17.110 3.566 11.514
angles: 90.00 108.96 90.00
Space group C2/m (No. 12)
Unique sites:
Tb  0.084  0.000  0.290
Tb  0.105  0.500  0.797
Pm  0.000  0.500  0.500
Pm  0.188  0.000  0.077
Pm  0.210  0.000  0.615
Er  0.000  0.500  0.000